An optimized crystal structure of ErCdPtAu, computed with PBE.

abc: 6.8503 6.8503 6.8503
angles: 90.00 90.00 90.00
Positions (direct):
Er 0.0000 0.0000 0.0000
Er 0.0000 0.5000 0.5000
Er 0.5000 0.0000 0.5000
Er 0.5000 0.5000 0.0000
Cd 0.0000 0.0000 0.5000
Cd 0.0000 0.5000 0.0000
Cd 0.5000 0.0000 0.0000
Cd 0.5000 0.5000 0.5000
Pt 0.2500 0.2500 0.7500
Pt 0.2500 0.7500 0.2500
Pt 0.7500 0.2500 0.2500
Pt 0.7500 0.7500 0.7500
Au 0.2500 0.2500 0.2500
Au 0.2500 0.7500 0.7500
Au 0.7500 0.2500 0.7500
Au 0.7500 0.7500 0.2500

Output
energy of formation = -0.758 eV per atom
N(E_F) = 0.46 states/eV/atom



An optimized crystal structure of Er4CdRhAu2, computed with PBE.

abc: 8.7039 8.7039 8.7039
angles: 33.64 33.64 33.64
Positions (direct):
Er 0.1161 0.1161 0.1161
Er 0.3683 0.3683 0.3683
Er 0.6317 0.6317 0.6317
Er 0.8839 0.8839 0.8839
Cd 0.5000 0.5000 0.5000
Rh 0.0000 0.0000 0.0000
Au 0.2410 0.2410 0.2410
Au 0.7590 0.7590 0.7590

Output
energy of formation = -0.749 eV per atom
N(E_F) = 0.57 states/eV/atom



An optimized crystal structure of Er4CdRuAu2, computed with PBE.

abc: 8.6815 8.6815 8.6815
angles: 33.72 33.72 33.72
Positions (direct):
Er 0.1155 0.1155 0.1155
Er 0.3673 0.3673 0.3673
Er 0.6327 0.6327 0.6327
Er 0.8845 0.8845 0.8845
Cd 0.5000 0.5000 0.5000
Ru 0.0000 0.0000 0.0000
Au 0.2419 0.2419 0.2419
Au 0.7581 0.7581 0.7581

Output
energy of formation = -0.626 eV per atom
N(E_F) = 0.71 states/eV/atom



An optimized crystal structure of ErSc2CdAu4, computed with PBE.

abc: 8.4553 8.4553 8.4553
angles: 33.41 33.41 33.41
Positions (direct):
Er 0.0000 0.0000 0.0000
Sc 0.2439 0.2439 0.2439
Sc 0.7561 0.7561 0.7561
Cd 0.5000 0.5000 0.5000
Au 0.1215 0.1215 0.1215
Au 0.3706 0.3706 0.3706
Au 0.6294 0.6294 0.6294
Au 0.8785 0.8785 0.8785

Output
energy of formation = -0.716 eV per atom
N(E_F) = 0.53 states/eV/atom



An optimized crystal structure of Er2ScCdAu4, computed with PBE.

abc: 8.6205 8.6205 8.6205
angles: 33.07 33.07 33.07
Positions (direct):
Er 0.2446 0.2446 0.2446
Er 0.7554 0.7554 0.7554
Sc 0.0000 0.0000 0.0000
Cd 0.5000 0.5000 0.5000
Au 0.1187 0.1187 0.1187
Au 0.3643 0.3643 0.3643
Au 0.6357 0.6357 0.6357
Au 0.8813 0.8813 0.8813

Output
energy of formation = -0.781 eV per atom
N(E_F) = 0.49 states/eV/atom



An optimized crystal structure of SmErCdAu, computed with PBE.

abc: 3.6857 3.6857 7.3938
angles: 90.00 90.00 90.00
Positions (direct):
Sm 0.0000 0.0000 0.0000
Er 0.0000 0.0000 0.5268
Cd 0.5000 0.5000 0.2735
Au 0.5000 0.5000 0.7411

Output
energy of formation = -0.576 eV per atom
N(E_F) = 0.93 states/eV/atom
relative energy among the computed polymorphs = 0.0 meV/atom



An optimized crystal structure of Sm2ErCdAu4, computed with PBE.

abc: 8.8800 8.8800 8.8800
angles: 33.05 33.05 33.05
Positions (direct):
Sm 0.2429 0.2429 0.2429
Sm 0.7571 0.7571 0.7571
Er 0.0000 0.0000 0.0000
Cd 0.5000 0.5000 0.5000
Au 0.1189 0.1189 0.1189
Au 0.3648 0.3648 0.3648
Au 0.6352 0.6352 0.6352
Au 0.8811 0.8811 0.8811

Output
energy of formation = -0.772 eV per atom
N(E_F) = 0.70 states/eV/atom



An optimized crystal structure of SmErCdAu, computed with PBE.

abc: 7.3770 7.3770 7.3770
angles: 90.00 90.00 90.00
Positions (direct):
Sm 0.0000 0.0000 0.0000
Sm 0.0000 0.5000 0.5000
Sm 0.5000 0.0000 0.5000
Sm 0.5000 0.5000 0.0000
Er 0.0000 0.0000 0.5000
Er 0.0000 0.5000 0.0000
Er 0.5000 0.0000 0.0000
Er 0.5000 0.5000 0.5000
Cd 0.2500 0.2500 0.2500
Cd 0.2500 0.7500 0.7500
Cd 0.7500 0.2500 0.7500
Cd 0.7500 0.7500 0.2500
Au 0.2500 0.2500 0.7500
Au 0.2500 0.7500 0.2500
Au 0.7500 0.2500 0.2500
Au 0.7500 0.7500 0.7500

Output
energy of formation = -0.543 eV per atom
N(E_F) = 0.89 states/eV/atom
relative energy among the computed polymorphs = 33.6 meV/atom



An optimized crystal structure of ErCdSnAu, computed with PBE.

abc: 7.1529 7.1529 7.1529
angles: 90.00 90.00 90.00
Positions (direct):
Er 0.0000 0.0000 0.0000
Er 0.0000 0.5000 0.5000
Er 0.5000 0.0000 0.5000
Er 0.5000 0.5000 0.0000
Cd 0.0000 0.0000 0.5000
Cd 0.0000 0.5000 0.0000
Cd 0.5000 0.0000 0.0000
Cd 0.5000 0.5000 0.5000
Sn 0.2500 0.2500 0.7500
Sn 0.2500 0.7500 0.2500
Sn 0.7500 0.2500 0.2500
Sn 0.7500 0.7500 0.7500
Au 0.2500 0.2500 0.2500
Au 0.2500 0.7500 0.7500
Au 0.7500 0.2500 0.7500
Au 0.7500 0.7500 0.2500

Output
energy of formation = -0.454 eV per atom
N(E_F) = 0.12 states/eV/atom



An optimized crystal structure of SrErCdAu, computed with PBE.

abc: 7.5403 7.5403 7.5403
angles: 90.00 90.00 90.00
Positions (direct):
Sr 0.0000 0.0000 0.0000
Sr 0.0000 0.5000 0.5000
Sr 0.5000 0.0000 0.5000
Sr 0.5000 0.5000 0.0000
Er 0.0000 0.0000 0.5000
Er 0.0000 0.5000 0.0000
Er 0.5000 0.0000 0.0000
Er 0.5000 0.5000 0.5000
Cd 0.2500 0.2500 0.7500
Cd 0.2500 0.7500 0.2500
Cd 0.7500 0.2500 0.2500
Cd 0.7500 0.7500 0.7500
Au 0.2500 0.2500 0.2500
Au 0.2500 0.7500 0.7500
Au 0.7500 0.2500 0.7500
Au 0.7500 0.7500 0.2500

Output
energy of formation = -0.454 eV per atom
N(E_F) = 0.60 states/eV/atom



An optimized crystal structure of Tb2ErCdAu4, computed with PBE.

abc: 8.7725 8.7725 8.7725
angles: 33.17 33.17 33.17
Positions (direct):
Tb 0.2432 0.2432 0.2432
Tb 0.7568 0.7568 0.7568
Er 0.0000 0.0000 0.0000
Cd 0.5000 0.5000 0.5000
Au 0.1198 0.1198 0.1198
Au 0.3658 0.3658 0.3658
Au 0.6342 0.6342 0.6342
Au 0.8802 0.8802 0.8802

Output
energy of formation = -0.788 eV per atom
N(E_F) = 0.68 states/eV/atom



An optimized crystal structure of ErThCdAu, computed with PBE.

abc: 7.4441 7.4441 7.4441
angles: 90.00 90.00 90.00
Positions (direct):
Er 0.0000 0.0000 0.0000
Er 0.0000 0.5000 0.5000
Er 0.5000 0.0000 0.5000
Er 0.5000 0.5000 0.0000
Th 0.0000 0.0000 0.5000
Th 0.0000 0.5000 0.0000
Th 0.5000 0.0000 0.0000
Th 0.5000 0.5000 0.5000
Cd 0.2500 0.2500 0.7500
Cd 0.2500 0.7500 0.2500
Cd 0.7500 0.2500 0.2500
Cd 0.7500 0.7500 0.7500
Au 0.2500 0.2500 0.2500
Au 0.2500 0.7500 0.7500
Au 0.7500 0.2500 0.7500
Au 0.7500 0.7500 0.2500

Output
energy of formation = -0.381 eV per atom
N(E_F) = 1.08 states/eV/atom